Computed, not measured: a geometry-optimized HfTeHN2 structure at the PBE level of DFT.

abc: 4.2000 4.2000 3.3128
angles: 90.00 90.00 90.00
Atoms (fractional coordinates):
Hf 0.5000 0.5000 0.5000
N 0.0000 0.5000 0.0000
N 0.5000 0.0000 0.0000
Te 0.0000 0.0000 0.5000
H 0.0000 0.0000 0.0000

- space group = No. 123
- total DFT energy (no corrections) (eV/atom) = -5.508



Computed, not measured: a geometry-optimized PuTiSe4 structure at the PBE level of DFT.

abc: 5.4116 8.5229 8.5399
angles: 105.06 90.00 108.51
Each line ends with the local moment (μB).
Atoms (fractional coordinates):
Se 0.0527 0.1055 0.3539  -0.16
Se 0.7344 0.4687 0.3454  -0.15
Se 0.1472 0.2944 0.9701  -0.19
Se 0.2656 0.5313 0.6546  -0.15
Se 0.3889 0.7778 0.3278  -0.23
Se 0.8528 0.7056 0.0299  -0.19
Se 0.9473 0.8945 0.6461  -0.16
Se 0.6111 0.2222 0.6722  -0.23
Ti 0.8951 0.7903 0.3201  0.20
Ti 0.1049 0.2097 0.6799  0.20
Pu 0.7853 0.5706 0.6990  4.72
Pu 0.2147 0.4294 0.3010  4.72

- space group = No. 12
- E_form (uncorrected) (eV per atom) = -0.969



Computed, not measured: a geometry-optimized AlHgSeI structure at the PBE level of DFT.

abc: 3.9226 3.9224 11.2153
angles: 99.33 90.00 120.00
Atoms (fractional coordinates):
Hg 0.4181 0.8362 0.9425
Se 0.9817 0.9634 0.6178
Al 0.6183 0.2367 0.5207
I 0.5489 0.0979 0.2966

- space group = No. 8
- E_form (uncorrected) (eV per atom) = -0.517



Computed, not measured: a geometry-optimized La2P4PtRh3 structure at the PBE level of DFT.

abc: 4.2502 4.2502 9.6060
angles: 90.00 90.00 90.00
Atoms (fractional coordinates):
Rh 0.5000 0.0000 0.8904
Rh 0.0000 0.0000 0.5000
Rh 0.0000 0.5000 0.1096
P 0.0000 0.5000 0.3600
P 0.5000 0.5000 0.0000
P 0.0000 0.0000 0.0000
P 0.5000 0.0000 0.6400
La 0.0000 0.5000 0.7582
La 0.5000 0.0000 0.2418
Pt 0.5000 0.5000 0.5000

- space group = No. 115
- formation energy from the elements (meV per atom) = -1107



Computed, not measured: a geometry-optimized Ba2BeCd structure at the PBE level of DFT.

abc: 9.2162 5.8418 4.1168
angles: 90.01 63.45 129.15
Atoms (fractional coordinates):
Be 0.0000 0.5000 0.5000
Ba 0.5000 0.0000 0.5000
Ba 0.0000 0.0000 0.0000
Cd 0.5000 0.5000 0.0000

- space group = No. 65
- formation energy from the elements (meV per atom) = 174



Computed, not measured: a geometry-optimized ZrTaPb structure at the PBE level of DFT.

abc: 4.7313 4.7313 4.7313
angles: 60.00 60.00 60.00
Atoms (fractional coordinates):
Zr 0.5000 0.5000 0.5000
Pb 0.7500 0.7500 0.7500
Ta 0.0000 0.0000 0.0000

- space group = No. 216
- formation energy from the elements (meV per atom) = 721



Computed, not measured: a geometry-optimized TcSb structure at the PBE level of DFT.

abc: 4.9676 4.9676 7.7145
angles: 90.00 90.00 120.00
Atoms (fractional coordinates):
Tc 0.6667 0.3333 0.6002
Tc 0.6667 0.3333 0.8998
Tc 0.3333 0.6667 0.3998
Tc 0.3333 0.6667 0.1002
Sb 0.0000 0.0000 0.2500
Sb 0.0000 0.0000 0.7500
Sb 0.6667 0.3333 0.2500
Sb 0.3333 0.6667 0.7500

- space group = No. 194
- E_form (uncorrected) (eV per atom) = 0.774



Computed, not measured: a geometry-optimized Ho6Te3CS2 structure at the PBE level of DFT.

abc: 6.9013 6.9013 7.2912
angles: 99.05 99.05 119.94
Atoms (fractional coordinates):
Ho 0.0653 0.3719 0.1963
Ho 0.9347 0.6281 0.8037
Ho 0.2385 0.2385 0.7982
Ho 0.7615 0.7615 0.2018
Ho 0.6281 0.9347 0.8037
Ho 0.3719 0.0653 0.1963
Te 0.5000 0.5000 0.5000
Te 0.1738 0.8262 0.5000
Te 0.8262 0.1738 0.5000
C 0.0000 0.0000 0.0000
S 0.3343 0.6657 0.0000
S 0.6657 0.3343 0.0000

- space group = No. 12
- E_form (uncorrected) (eV per atom) = -1.426



Computed, not measured: a geometry-optimized KRe3Pb structure at the PBE level of DFT.

abc: 4.7138 4.7138 4.7138
angles: 90.00 90.00 90.00
Each line ends with the local moment (μB).
Atoms (fractional coordinates):
Re 0.0000 0.0000 0.5000  1.07
Re 0.5000 0.0000 0.0000  1.04
Re 0.0000 0.5000 0.0000  0.99
K 0.0000 0.0000 0.0000  0.07
Pb 0.5000 0.5000 0.5000  0.04

- space group = No. 221
- formation energy from the elements (meV per atom) = 3745



Computed, not measured: a geometry-optimized YEr6Sc8 structure at the PBE level of DFT.

abc: 14.0159 14.0159 14.0159
angles: 24.27 24.27 24.27
Atoms (fractional coordinates):
Sc 0.5310 0.1973 0.8643
Sc 0.4690 0.8027 0.1357
Sc 0.3333 0.3333 0.3333
Sc 0.8643 0.5310 0.1973
Sc 0.1357 0.4690 0.8027
Sc 0.1973 0.8643 0.5310
Sc 0.8027 0.1357 0.4690
Sc 0.6667 0.6667 0.6667
Er 0.9312 0.2666 0.5959
Er 0.4041 0.0688 0.7334
Er 0.0688 0.7334 0.4041
Er 0.5959 0.9312 0.2666
Er 0.2666 0.5959 0.9312
Er 0.7334 0.4041 0.0688
Y 0.0000 0.0000 0.0000

- space group = No. 148
- formation energy from the elements (meV per atom) = 36



Computed, not measured: a geometry-optimized In4Hg8Bi structure at the PBE level of DFT.

abc: 8.2599 8.2599 8.2599
angles: 60.00 60.00 60.00
Atoms (fractional coordinates):
In 0.3511 0.3511 0.3511
In 0.3511 0.9467 0.3511
In 0.9467 0.3511 0.3511
In 0.3511 0.3511 0.9467
Hg 0.1857 0.6048 0.6048
Hg 0.0943 0.0943 0.0943
Hg 0.6048 0.6048 0.6048
Hg 0.7170 0.0943 0.0943
Hg 0.0943 0.0943 0.7170
Hg 0.6048 0.6048 0.1857
Hg 0.6048 0.1857 0.6048
Hg 0.0943 0.7170 0.0943
Bi 0.7500 0.7500 0.7500

- space group = No. 216
- formation energy from the elements (meV per atom) = 127



Computed, not measured: a geometry-optimized SrNiSn2Te structure at the PBE level of DFT.

abc: 4.8467 4.8467 6.1579
angles: 90.00 90.00 90.00
Atoms (fractional coordinates):
Te 0.5000 0.5000 0.5000
Sn 0.5000 0.0000 0.0000
Sn 0.0000 0.5000 0.0000
Ni 0.0000 0.0000 0.0000
Sr 0.0000 0.0000 0.5000

- space group = No. 123
- E_form (uncorrected) (eV per atom) = -0.450